DFT (PBE-GGA) results for SbOsRh2 after structural relaxation.

Cell: 2.8964 2.8964 7.7527 Å, 90.00 90.00 90.00°
Space group P4/mmm (No. 123)
Symmetry-distinct sites (fractional):
Sb (0.0000, 0.0000, 0.0000)
Os (0.0000, 0.0000, 0.5000)
Rh (0.5000, 0.5000, 0.2727)

**Total magnetization**: 0.0 μB/f.u.
**Electronic total energy**: -7.31 eV/atom


DFT (PBE-GGA) results for Sb2OsRh after structural relaxation.

Cell: 6.6087 6.6087 6.6087 Å, 90.00 90.00 90.00°
Space group Fm-3m (No. 225)
Symmetry-distinct sites (fractional):
Sb (0.2500, 0.2500, 0.2500)
Os (0.0000, 0.0000, 0.0000)
Rh (0.0000, 0.0000, 0.5000)

**Total magnetization**: 0.5 μB/f.u.
**Electronic total energy**: -6.42 eV/atom


DFT (PBE-GGA) results for SbOs2Rh after structural relaxation.

Cell: 4.0121 4.0121 7.7507 Å, 90.00 90.00 90.00°
Space group I-4m2 (No. 119)
Symmetry-distinct sites (fractional):
Sb (0.0000, 0.0000, 0.0000)
Os (0.0000, 0.0000, 0.5000)
Os (0.0000, 0.5000, 0.7500)
Rh (0.0000, 0.5000, 0.2500)

**Total magnetization**: 0.0 μB/f.u.
**Electronic total energy**: -8.15 eV/atom


It is found that the raw formation energy values, taken in the order of the records, are 0.20; 0.28; 0.33 eV per atom.